--- 1 ---
Material: MgP2WO7
Method: DFT, PBE+U
State: optimized geometry

POSCAR file:
```
MgP2WO7
1.0
6.641 0.000 0.000
-0.705 6.605 0.000
-1.396 -3.148 6.722
Mg P W O
2 4 2 14
Direct
0.020 0.231 0.019
0.980 0.769 0.981
0.115 0.671 0.309
0.288 0.905 0.747
0.712 0.095 0.253
0.885 0.329 0.691
0.439 0.460 0.829
0.561 0.540 0.171
0.107 0.476 0.816
0.117 0.740 0.535
0.152 0.964 0.897
0.159 0.865 0.258
0.259 0.497 0.245
0.378 0.103 0.714
0.440 0.761 0.785
0.560 0.239 0.215
0.622 0.897 0.286
0.741 0.503 0.755
0.841 0.135 0.742
0.848 0.036 0.103
0.883 0.260 0.465
0.893 0.524 0.184
```

Values from the calculation:
Crystal system: triclinic
Magnetic moment, Bohr magnetons per cell: 2.00


--- 2 ---
Material: MgP2WO7
Method: DFT, PBE+U
State: optimized geometry

POSCAR file:
```
MgP2WO7
1.0
5.379 0.000 0.000
1.963 6.342 0.000
0.046 2.070 8.621
Mg P W O
2 4 2 14
Direct
0.136 0.344 0.395
0.864 0.656 0.605
0.296 0.802 0.384
0.333 0.305 0.869
0.667 0.695 0.131
0.704 0.198 0.616
0.209 0.827 0.832
0.791 0.173 0.168
0.112 0.662 0.433
0.140 0.048 0.333
0.146 0.532 0.788
0.204 0.134 0.864
0.407 0.729 0.229
0.426 0.307 0.030
0.488 0.235 0.496
0.512 0.765 0.504
0.574 0.693 0.970
0.593 0.271 0.771
0.796 0.866 0.136
0.854 0.468 0.212
0.860 0.952 0.667
0.888 0.338 0.567
```

Values from the calculation:
Crystal system: triclinic
Magnetic moment, Bohr magnetons per cell: 8.00


2 is favored, and the nearest alternative lies 99 meV per atom above it.


--- 1 ---
Material: MgP2WO
Method: DFT, PBE+U
State: optimized geometry

POSCAR file:
```
MgP2WO
1.0
4.854 0.000 0.000
0.000 4.854 0.000
0.000 0.000 3.509
Mg P W O
1 2 1 1
Direct
0.000 0.000 0.000
0.000 0.500 0.000
0.500 0.000 0.000
0.500 0.500 0.500
0.000 0.000 0.500
```

Values from the calculation:
Crystal system: tetragonal
Magnetic moment, Bohr magnetons per cell: 0.18


--- 2 ---
Material: MgP2WO
Method: DFT, PBE+U
State: optimized geometry

POSCAR file:
```
MgP2WO
1.0
4.864 0.000 0.000
0.000 4.864 0.000
0.000 0.000 3.831
Mg P W O
1 2 1 1
Direct
0.000 0.000 0.000
0.000 0.500 0.500
0.500 0.000 0.500
0.500 0.500 0.500
0.500 0.500 0.000
```

Values from the calculation:
Crystal system: tetragonal
Magnetic moment, Bohr magnetons per cell: 0.00


2 is favored, and the nearest alternative lies 1162 meV per atom above it.


--- 1 ---
Material: MgPWO2
Method: DFT, PBE+U
State: optimized geometry

POSCAR file:
```
MgPWO2
1.0
3.875 0.000 0.000
0.000 3.875 0.000
0.000 0.000 5.288
Mg P W O
1 1 1 2
Direct
0.000 0.000 0.000
0.500 0.500 0.000
0.500 0.500 0.500
0.000 0.500 0.500
0.500 0.000 0.500
```

Values from the calculation:
Crystal system: tetragonal
Magnetic moment, Bohr magnetons per cell: 1.00


--- 2 ---
Material: MgPWO2
Method: DFT, PBE+U
State: optimized geometry

POSCAR file:
```
MgPWO2
1.0
3.794 0.000 0.000
0.000 3.794 0.000
0.000 0.000 5.351
Mg P W O
1 1 1 2
Direct
0.000 0.000 0.000
0.000 0.000 0.500
0.500 0.500 0.500
0.000 0.500 0.000
0.500 0.000 0.000
```

Values from the calculation:
Crystal system: tetragonal
Magnetic moment, Bohr magnetons per cell: 3.28


1 is favored, and the nearest alternative lies 1024 meV per atom above it.